# 1
Sm3HoS6 PBE relaxed; theoretical density = 5.476 g/cm³; magnetization = 0.0 μB per cell; electronic total energy = -6.3791 eV/atom
1.0
-3.956 -0.703 0.140
-0.322 -0.411 -11.169
2.022 -10.600 3.933
Sm Ho S
6 2 12
Direct
0.750 0.426 0.830
0.250 0.574 0.170
0.750 0.683 0.505
0.250 0.317 0.495
0.750 0.161 0.082
0.250 0.839 0.918
0.750 0.041 0.685
0.250 0.959 0.315
0.750 0.477 0.613
0.250 0.523 0.387
0.750 0.917 0.101
0.250 0.083 0.899
0.750 0.403 0.068
0.250 0.597 0.932
0.750 0.753 0.281
0.250 0.247 0.719
0.750 0.107 0.461
0.250 0.893 0.539
0.750 0.815 0.751
0.250 0.185 0.249

=====

# 2
Th2BeGeIr6 PBE relaxed; theoretical density = 15.688 g/cm³; magnetization = 0.0 μB per cell; electronic total energy = -8.0089 eV/atom
1.0
6.335 0.000 0.000
0.000 6.337 0.000
3.167 3.168 4.480
Th Be Ge Ir
2 1 1 6
Direct
0.750 0.250 0.500
0.250 0.750 0.500
0.500 0.500 0.000
0.000 0.000 0.000
0.263 0.263 0.475
0.738 0.737 0.000
0.262 0.738 0.000
0.738 0.262 0.000
0.262 0.263 0.000
0.737 0.737 0.525

=====

# 3
MnCdTe4 PBE relaxed; theoretical density = 6.106 g/cm³; magnetization = 5.3 μB per cell; electronic total energy = -3.1987 eV/atom
1.0
0.000 4.517 4.517
4.517 0.000 4.517
4.517 4.517 0.000
Mn Cd Te
1 1 4
Direct
0.000 0.000 0.000
0.750 0.750 0.750
0.875 0.375 0.375
0.375 0.375 0.875
0.375 0.875 0.375
0.375 0.375 0.375

=====

# 4
CdGeAs2O PBE relaxed; theoretical density = 4.257 g/cm³; magnetization = 0.7 μB per cell; electronic total energy = -2.5806 eV/atom
1.0
5.071 0.000 0.000
0.000 5.323 0.000
0.000 0.000 5.071
As Ge O Cd
2 1 1 1
Direct
0.000 0.000 0.500
0.500 0.000 0.000
0.000 0.500 0.000
0.500 0.500 0.500
0.000 0.000 0.000